A relaxed Cs2NaTi crystal. Source: Alexandria via LeMat-Bulk, functional PBE.

POSCAR file:
```
Cs2NaTi
1.0
9.6959 0.0000 0.0000
0.0000 9.6959 0.0000
0.0000 0.0000 9.6959
Cs Na Ti
8 4 4
direct
0.2500 0.2500 0.2500
0.2500 0.2500 0.7500
0.2500 0.7500 0.2500
0.2500 0.7500 0.7500
0.7500 0.2500 0.2500
0.7500 0.2500 0.7500
0.7500 0.7500 0.2500
0.7500 0.7500 0.7500
0.0000 0.0000 0.0000
0.0000 0.5000 0.5000
0.5000 0.0000 0.5000
0.5000 0.5000 0.0000
0.0000 0.0000 0.5000
0.0000 0.5000 0.0000
0.5000 0.0000 0.0000
0.5000 0.5000 0.5000
```

E_form: 3.616 eV/f.u.
crystal system: cubic
total magnetic moment: 3.0 μB/f.u.
DFT total energy: -1.8262 eV per atom
calculated volume: 912 Å³ per cell

A relaxed CsNa2Ti2 crystal. Source: Alexandria via LeMat-Bulk, functional PBE.

POSCAR file:
```
CsNa2Ti2
1.0
9.9289 0.0000 0.0000
0.0000 9.9289 0.0000
0.0000 0.0000 3.4110
Cs Na Ti
2 4 4
direct
0.0000 0.0000 0.0000
0.5000 0.5000 0.0000
0.1981 0.3019 0.5000
0.3019 0.8019 0.5000
0.6981 0.1981 0.5000
0.8019 0.6981 0.5000
0.0754 0.5754 0.0000
0.4246 0.0754 0.0000
0.5754 0.9246 0.0000
0.9246 0.4246 0.0000
```

E_form: 4.176 eV/f.u.
crystal system: tetragonal
total magnetic moment: 2.8 μB/f.u.
DFT total energy: -3.0210 eV per atom
calculated volume: 336 Å³ per cell

A relaxed CsNa3Ti crystal. Source: Alexandria via LeMat-Bulk, functional PBE.

POSCAR file:
```
CsNa3Ti
1.0
6.2947 0.0000 0.0000
0.0000 6.2947 0.0000
0.0000 0.0000 6.2947
Cs Na Ti
1 3 1
direct
0.0000 0.0000 0.0000
0.0000 0.5000 0.5000
0.5000 0.0000 0.5000
0.5000 0.5000 0.0000
0.5000 0.5000 0.5000
```

E_form: 3.712 eV/f.u.
crystal system: cubic
total magnetic moment: 3.9 μB/f.u.
DFT total energy: -1.7987 eV per atom
calculated volume: 249 Å³ per cell

A relaxed Cs2NaTi crystal. Source: Alexandria via LeMat-Bulk, functional PBE.

POSCAR file:
```
Cs2NaTi
1.0
10.9082 0.0000 0.0000
0.0000 10.9082 0.0000
0.0000 0.0000 7.8974
Cs Na Ti
8 4 4
direct
0.2371 0.2500 0.1250
0.2500 0.7371 0.3750
0.2500 0.7629 0.8750
0.2629 0.2500 0.6250
0.7371 0.7500 0.6250
0.7500 0.2371 0.8750
0.7500 0.2629 0.3750
0.7629 0.7500 0.1250
0.0000 0.0000 0.5000
0.0000 0.5000 0.7500
0.5000 0.0000 0.2500
0.5000 0.5000 0.0000
0.0000 0.0000 0.0000
0.0000 0.5000 0.2500
0.5000 0.0000 0.7500
0.5000 0.5000 0.5000
```

E_form: 3.865 eV/f.u.
crystal system: tetragonal
total magnetic moment: 3.5 μB/f.u.
DFT total energy: -1.7640 eV per atom
calculated volume: 940 Å³ per cell

A relaxed CsNaTiW2 crystal. Source: Alexandria via LeMat-Bulk, functional PBE.

POSCAR file:
```
CsNaTiW2
1.0
4.7100 0.0000 0.0000
0.0000 4.7100 0.0000
0.0000 0.0000 6.4878
Cs Na Ti W
1 1 1 2
direct
0.0000 0.0000 0.0000
0.5000 0.5000 0.0000
0.0000 0.0000 0.5000
0.0000 0.5000 0.5000
0.5000 0.0000 0.5000
```

E_form: 9.486 eV/f.u.
crystal system: tetragonal
total magnetic moment: 0.5 μB/f.u.
DFT total energy: -5.2976 eV per atom
calculated volume: 144 Å³ per cell

A relaxed CsNaTi2Zn crystal. Source: Alexandria via LeMat-Bulk, functional PBE.

POSCAR file:
```
CsNaTi2Zn
1.0
5.0872 0.0000 0.0000
0.0000 5.0872 0.0000
0.0000 0.0000 5.9193
Cs Na Ti Zn
1 1 2 1
direct
0.0000 0.0000 0.0000
0.5000 0.5000 0.5000
0.0000 0.5000 0.0000
0.5000 0.0000 0.0000
0.0000 0.0000 0.5000
```

E_form: 9.072 eV/f.u.
crystal system: tetragonal
total magnetic moment: 1.8 μB/f.u.
DFT total energy: -2.0328 eV per atom
calculated volume: 153 Å³ per cell

A relaxed Cs5NaTl6 crystal. Source: Alexandria via LeMat-Bulk, functional PBE.

POSCAR file:
```
Cs5NaTl6
1.0
4.7600 -9.4006 0.0000
4.7600 9.4006 0.0000
-4.6296 0.0000 7.1011
Cs Na Tl
5 1 6
direct
0.0000 0.0000 0.0000
0.2223 0.7777 0.0000
0.3418 0.6582 0.5000
0.6582 0.3418 0.5000
0.7777 0.2223 0.0000
0.0000 0.0000 0.5000
0.1762 0.3777 0.8661
0.3777 0.1762 0.8661
0.4899 0.4899 0.7795
0.5101 0.5101 0.2205
0.6223 0.8238 0.1339
0.8238 0.6223 0.1339
```

E_form: -0.669 eV/f.u.
crystal system: monoclinic
total magnetic moment: 0.0 μB/f.u.
DFT total energy: -1.7044 eV per atom
calculated volume: 636 Å³ per cell

A relaxed Cs2Na3Tl2 crystal. Source: Alexandria via LeMat-Bulk, functional PBE.

POSCAR file:
```
Cs2Na3Tl2
1.0
13.8539 0.0000 0.0000
0.0000 5.9082 0.0000
-3.8614 0.0000 7.9269
Cs Na Tl
4 6 4
direct
0.1538 0.0000 0.2800
0.3462 0.5000 0.7200
0.6538 0.5000 0.2800
0.8462 0.0000 0.7200
0.0000 0.5000 0.5000
0.1648 0.0000 0.8302
0.3352 0.5000 0.1698
0.5000 0.0000 0.5000
0.6648 0.5000 0.8302
0.8352 0.0000 0.1698
0.0749 0.5000 0.9064
0.4251 0.0000 0.0936
0.5749 0.0000 0.9064
0.9251 0.5000 0.0936
```

E_form: -0.287 eV/f.u.
crystal system: monoclinic
total magnetic moment: 0.0 μB/f.u.
DFT total energy: -1.5262 eV per atom
calculated volume: 649 Å³ per cell